(1)
Entry from the Alexandria database: a relaxed YTlBr2 crystal (PBE).

Cell: 3.856 5.951 4.865 Å, 90.00 90.00 90.00°
Positions (direct):
Y 0.000 0.500 0.500
Tl 0.500 0.000 0.500
Br 0.000 0.000 0.000
Br 0.500 0.500 0.000

Results
Energy above the lowest structure with this stoichiometry ... 306.4 meV/atom
Total magnetization ... 0.00 μB per formula unit
Energy relative to the elements, uncorrected ... -18.24 kcal/mol of atoms
DFT total energy ... -3.8348 eV/atom
Density of states at the Fermi level ... 0.81 states/eV/f.u.



(2)
Entry from the Alexandria database: a relaxed Y2TlBr crystal (PBE).

Cell: 4.529 4.529 7.407 Å, 73.04 73.04 53.62°
Positions (direct):
Y 0.992 0.992 0.989
Y 0.508 0.508 0.511
Tl 0.750 0.750 0.750
Br 0.250 0.250 0.250

Results
Energy above the lowest structure with this stoichiometry ... 55.2 meV/atom
Total magnetization ... 0.00 μB per formula unit
Energy relative to the elements, uncorrected ... -14.66 kcal/mol of atoms
DFT total energy ... -4.8775 eV/atom
Density of states at the Fermi level ... 2.28 states/eV/f.u.



(3)
Entry from the Alexandria database: a relaxed YTlBr crystal (PBE).

Cell: 3.719 3.719 8.050 Å, 90.00 90.00 120.00°
Positions (direct):
Y 0.333 0.667 0.688
Tl 0.667 0.333 0.379
Br 0.000 0.000 0.932

Results
Energy above the lowest structure with this stoichiometry ... 0.0 meV/atom
Total magnetization ... 0.00 μB per formula unit
Energy relative to the elements, uncorrected ... -17.21 kcal/mol of atoms
DFT total energy ... -4.2472 eV/atom
Density of states at the Fermi level ... 2.06 states/eV/f.u.



(4)
Entry from the Alexandria database: a relaxed YTl2Br crystal (PBE).

Cell: 3.527 5.436 5.924 Å, 90.00 90.00 90.00°
Positions (direct):
Y 0.500 0.000 0.500
Tl 0.000 0.000 0.000
Tl 0.500 0.500 0.000
Br 0.000 0.500 0.500

Results
Energy above the lowest structure with this stoichiometry ... 150.6 meV/atom
Total magnetization ... 0.01 μB per formula unit
Energy relative to the elements, uncorrected ... -10.06 kcal/mol of atoms
DFT total energy ... -3.6537 eV/atom
Density of states at the Fermi level ... 2.31 states/eV/f.u.



(5)
Entry from the Alexandria database: a relaxed Y2TlBr2 crystal (PBE).

Cell: 4.014 4.014 11.735 Å, 80.15 80.15 60.00°
Positions (direct):
Y 0.606 0.606 0.181
Y 0.394 0.394 0.819
Tl 0.000 0.000 0.000
Br 0.221 0.221 0.336
Br 0.779 0.779 0.664

Results
Energy above the lowest structure with this stoichiometry ... 0.0 meV/atom
Total magnetization ... 0.00 μB per formula unit
Energy relative to the elements, uncorrected ... -26.64 kcal/mol of atoms
DFT total energy ... -4.8833 eV/atom
Density of states at the Fermi level ... 1.91 states/eV/f.u.



(6)
Entry from the Alexandria database: a relaxed YTl2Br crystal (PBE).

Cell: 10.006 10.006 7.609 Å, 48.89 48.89 90.00°
Positions (direct):
Y 0.000 0.000 0.000
Y 0.750 0.250 0.500
Tl 0.687 0.125 0.250
Tl 0.063 0.625 0.250
Tl 0.375 0.313 0.750
Tl 0.875 0.937 0.750
Br 0.500 0.500 0.000
Br 0.250 0.750 0.500

Results
Energy above the lowest structure with this stoichiometry ... 349.7 meV/atom
Total magnetization ... 0.00 μB per formula unit
Energy relative to the elements, uncorrected ... -5.47 kcal/mol of atoms
DFT total energy ... -3.4546 eV/atom
Density of states at the Fermi level ... 1.49 states/eV/f.u.



(7)
Entry from the Alexandria database: a relaxed YTlBr crystal (PBE).

Cell: 8.187 8.187 8.187 Å, 154.88 154.88 35.83°
Positions (direct):
Y 0.342 0.342 0.000
Tl 0.706 0.706 0.000
Br 0.952 0.952 0.000

Results
Energy above the lowest structure with this stoichiometry ... 87.1 meV/atom
Total magnetization ... 0.00 μB per formula unit
Energy relative to the elements, uncorrected ... -15.20 kcal/mol of atoms
DFT total energy ... -4.1601 eV/atom
Density of states at the Fermi level ... 2.77 states/eV/f.u.



(8)
Entry from the Alexandria database: a relaxed YTlBr2 crystal (PBE).

Cell: 3.864 3.864 10.163 Å, 90.00 90.00 117.53°
Positions (direct):
Y 0.500 0.500 0.747
Tl 0.000 0.000 0.504
Br 0.000 0.000 0.943
Br 0.500 0.500 0.307

Results
Energy above the lowest structure with this stoichiometry ... 333.5 meV/atom
Total magnetization ... 0.00 μB per formula unit
Energy relative to the elements, uncorrected ... -17.61 kcal/mol of atoms
DFT total energy ... -3.8076 eV/atom
Density of states at the Fermi level ... 0.38 states/eV/f.u.